Material: Be2AlSb
Method: DFT, PBE
State: optimized geometry

Lattice parameters (Å, degrees): 6.370 6.370 6.370 90.00 90.00 90.00
Space group F-43m (No. 216)
Unique sites:
Be  0.000  0.000  0.000
Be  0.250  0.250  0.250
Al  0.000  0.000  0.500
Sb  0.250  0.250  0.750

Computed properties:
Formation energy from raw total energies ... 3.07 eV/f.u.
E above lowest polymorph ... 193 kJ/mol of formula units
Calculated density ... 4286 kg/m3